Material: Ac8Pr2Mg
Method: DFT, PBE-GGA
State: relaxed

Summary:
As for the formation energy: 116.1 meV per atom.

a = 5.9527 Å, b = 9.8852 Å, c = 9.8062 Å
α = 120.27°, β = 107.67°, γ = 90.00°
Closest atoms and distances in Å follow each position.
Atoms (fractional coordinates):
Ac (0.0001, 0.6797, 0.0001)  7 Ac 3.55-3.85, 2 Pr 3.76
Ac (0.3484, 0.5592, 0.6967)  3 Pr 3.61-3.75, 1 Mg 3.74, 3 Ac 3.84-3.94
Ac (0.8625, 0.8624, 0.7250)  2 Mg 3.69, 2 Pr 3.84, 6 Ac 3.85-4.13
Ac (0.9999, 0.3203, 0.9999)  7 Ac 3.55-3.85, 2 Pr 3.76
Ac (0.6518, 0.8628, 0.3037)  3 Pr 3.61-3.75, 1 Mg 3.74, 3 Ac 3.84-3.94
Ac (0.3482, 0.1372, 0.6963)  3 Pr 3.61-3.75, 1 Mg 3.74, 3 Ac 3.84-3.94
Ac (0.1375, 0.1376, 0.2750)  2 Mg 3.69, 2 Pr 3.84, 6 Ac 3.85-4.13
Ac (0.6516, 0.4408, 0.3033)  3 Pr 3.61-3.75, 1 Mg 3.74, 3 Ac 3.84-3.94
Pr (0.7908, 0.2909, 0.5815)  10 Ac 3.61-3.84
Pr (0.2092, 0.7091, 0.4185)  10 Ac 3.61-3.84
Mg (0.5000, 0.0000, 0.0000)  8 Ac 3.69-3.74

=====

Material: La3TbIn4
Method: DFT, PBE-GGA
State: relaxed

Summary:
As for the formation energy: -510.0 meV per atom.

a = 3.8854 Å, b = 3.8854 Å, c = 15.8271 Å
α = 90.00°, β = 90.00°, γ = 90.00°
Closest atoms and distances in Å follow each position.
Atoms (fractional coordinates):
In (0.0000, 0.0000, 0.6287)  8 La 3.42
In (0.0000, 0.0000, 0.8881)  4 Tb 3.27, 4 La 3.44, 1 In 3.54
In (0.0000, 0.0000, 0.3713)  8 La 3.42
In (0.0000, 0.0000, 0.1119)  4 Tb 3.27, 4 La 3.44, 1 In 3.54
La (0.5000, 0.5000, 0.2428)  8 In 3.42-3.44
La (0.5000, 0.5000, 0.7572)  8 In 3.42-3.44
La (0.5000, 0.5000, 0.5000)  8 In 3.42
Tb (0.5000, 0.5000, 0.0000)  8 In 3.27

=====

Material: CsCrTe6As
Method: DFT, PBE-GGA
State: relaxed

Summary:
The calculation puts the raw formation energy at -0.12 eV per atom.

a = 9.7191 Å, b = 8.5350 Å, c = 10.1420 Å
α = 114.88°, β = 118.63°, γ = 90.00°
Closest atoms and distances in Å follow each position.
Atoms (fractional coordinates):
Te (0.4127, 0.6557, 0.2570)  1 Cr 2.71, 1 As 2.91
Te (0.5873, 0.3443, 0.7430)  1 Cr 2.71, 1 As 2.91
Te (0.5873, 0.8987, 0.7430)  1 Cr 2.71, 1 As 2.91
Te (0.1557, 0.3443, 0.7430)  1 Cr 2.71, 1 As 2.91
Te (0.3670, 0.6170, 0.7340)  2 As 2.98, 4 Te 3.16
Te (0.1557, 0.8987, 0.7430)  1 Cr 2.71, 1 As 2.91
Te (0.4127, 0.1013, 0.2570)  1 Cr 2.71, 1 As 2.91
Te (0.8305, 0.0805, 0.6610)  2 Cr 2.74
Te (0.8443, 0.6557, 0.2570)  1 Cr 2.71, 1 As 2.91
Te (0.8443, 0.1013, 0.2570)  1 Cr 2.71, 1 As 2.91
Te (0.6330, 0.3830, 0.2660)  2 As 2.98, 4 Te 3.16
Te (0.1695, 0.9195, 0.3390)  2 Cr 2.74
Cs (0.9295, 0.6795, 0.8590)  5 Te 3.75
Cs (0.0705, 0.3205, 0.1410)  5 Te 3.75
As (0.5000, 0.0000, 0.0000)  6 Te 2.91-2.98
As (0.5000, 0.5000, 0.0000)  6 Te 2.91-2.98
Cr (0.0000, 0.0000, 0.5000)  6 Te 2.71-2.74
Cr (0.5000, 0.0000, 0.5000)  6 Te 2.71-2.74

=====

Material: Ce2PrSc
Method: DFT, PBE-GGA
State: relaxed

Summary:
As for the formation energy: 128.0 meV per atom. The value obtained for the offset from the most stable computed form is 0.017 eV per atom.

a = 3.4322 Å, b = 3.4322 Å, c = 10.0208 Å
α = 90.00°, β = 90.00°, γ = 90.00°
Closest atoms and distances in Å follow each position.
Atoms (fractional coordinates):
Pr (0.5000, 0.5000, 0.5000)  4 Pr 3.43, 8 Ce 3.59
Ce (0.0000, 0.0000, 0.2356)  4 Sc 3.39, 4 Ce 3.43, 4 Pr 3.59
Ce (0.0000, 0.0000, 0.7644)  4 Sc 3.39, 4 Ce 3.43, 4 Pr 3.59
Sc (0.5000, 0.5000, 0.0000)  8 Ce 3.39, 4 Sc 3.43

=====

It is found that the magnetic moment values, taken in the order of the records, are 0.00, 0.00, 2.87, 1.56 μB/f.u..